Crystalline ZnCoSn2Br at its relaxed geometry. Source: Alexandria via LeMat-Bulk, functional PBE.

POSCAR file:
```
ZnCoSn2Br
1.0
4.894 0.000 0.000
0.000 4.894 0.000
0.000 0.000 4.831
Zn Co Sn Br
1 1 2 1
Cartesian
0.000 0.000 0.000 Zn
0.000 0.000 2.416 Co
0.000 2.447 2.416 Sn
2.447 0.000 2.416 Sn
2.447 2.447 0.000 Br
```

Calculated values
Formation energy without anion corrections, eV/atom: -0.15
Crystal system: tetragonal
Calculated density, g/cm³: 6.34
Raw total energy, eV/atom: -3.762
Symmetry: P4/mmm, No. 123